{"formula": "TiInBW2", "functional": "meta-GGA SCAN", "state": "single point on PBEsol structure", "lattice_angstrom": [[4.198, 0.000, 0.000], [0.000, 4.198, 0.000], [0.000, 0.000, 4.338]], "species": ["B", "Ti", "W", "W", "In"], "frac_coords": [[0.000, 0.000, 0.000], [0.000, 0.000, 0.500], [0.000, 0.500, 0.000], [0.500, 0.000, 0.000], [0.500, 0.500, 0.500]], "ef_kcal_per_mol_atoms": 3.9}

{"formula": "FeBr2NCl", "functional": "meta-GGA SCAN", "state": "single point on PBEsol structure", "lattice_angstrom": [[3.359, 0.000, 0.000], [0.000, 5.608, 0.000], [0.000, 0.000, 5.608]], "species": ["N", "Fe", "Br", "Br", "Cl"], "frac_coords": [[0.500, 0.000, 0.000], [0.500, 0.500, 0.500], [0.000, 0.000, 0.500], [0.000, 0.500, 0.000], [0.000, 0.000, 0.000]], "raw_formation_energy_kj_per_mol_atoms": 133}

{"formula": "Cs2BaNa2", "functional": "meta-GGA SCAN", "state": "single point on PBEsol structure", "lattice_angstrom": [[-1.072, -4.782, 4.955], [5.494, 2.429, 3.533], [-6.309, 5.569, -0.892]], "species": ["Cs", "Cs", "Na", "Na", "Ba"], "frac_coords": [[0.363, 0.363, 0.726], [0.637, 0.637, 0.274], [0.250, 0.750, 0.500], [0.750, 0.250, 0.500], [0.000, 0.000, 0.000]], "ef_kcal_per_mol_atoms": 4.8}

{"formula": "RbSb2TeSe", "functional": "meta-GGA SCAN", "state": "single point on PBEsol structure", "lattice_angstrom": [[-4.888, 3.255, -0.688], [0.598, -0.348, -5.894], [-3.285, -4.942, -0.042]], "species": ["Sb", "Sb", "Te", "Se", "Rb"], "frac_coords": [[0.000, 0.000, 0.500], [0.000, 0.500, 0.000], [0.500, 0.000, 0.000], [0.500, 0.500, 0.500], [0.000, 0.000, 0.000]], "raw_formation_energy_kj_per_mol_atoms": 156}

{"formula": "ZrOs", "functional": "meta-GGA SCAN", "state": "single point on PBEsol structure", "lattice_angstrom": [[3.251, 0.000, 0.000], [0.000, 4.483, 0.000], [-1.625, -2.241, 4.697]], "species": ["Os", "Os", "Zr", "Zr"], "frac_coords": [[0.125, 0.875, 0.249], [0.875, 0.125, 0.751], [0.620, 0.370, 0.239], [0.380, 0.630, 0.761]], "ef_kcal_per_mol_atoms": -8.8}

{"formula": "Zn2CuP", "functional": "meta-GGA SCAN", "state": "single point on PBEsol structure", "lattice_angstrom": [[3.731, 0.000, 0.000], [0.000, 3.740, 0.000], [-1.865, -1.870, 3.867]], "species": ["Cu", "P", "Zn", "Zn"], "frac_coords": [[0.501, 0.501, 0.002], [0.249, 0.749, 0.498], [0.000, 0.000, 0.999], [0.750, 0.250, 0.501]], "ef_kcal_per_mol_atoms": 4.1}

{"formula": "LaSc2CrNi", "functional": "meta-GGA SCAN", "state": "single point on PBEsol structure", "lattice_angstrom": [[4.672, 0.000, 0.000], [0.000, 4.672, 0.000], [0.000, 0.000, 5.116]], "species": ["Sc", "Sc", "Ni", "Cr", "La"], "frac_coords": [[0.000, 0.500, 0.000], [0.500, 0.000, 0.000], [0.500, 0.500, 0.500], [0.000, 0.000, 0.000], [0.000, 0.000, 0.500]], "ef_kcal_per_mol_atoms": 16.4}

{"formula": "Cr5Co", "functional": "meta-GGA SCAN", "state": "single point on PBEsol structure", "lattice_angstrom": [[-3.462, 0.937, -1.674], [0.128, -3.886, -2.440], [-1.988, 0.048, 4.138]], "species": ["Co", "Cr", "Cr", "Cr", "Cr", "Cr"], "frac_coords": [[0.000, 0.000, 0.000], [0.500, 0.000, 0.500], [0.000, 0.667, 0.333], [0.500, 0.500, 0.500], [0.500, 0.500, 0.000], [0.000, 0.333, 0.667]], "ef_kcal_per_mol_atoms": 14.2}

{"formula": "YPt2", "functional": "meta-GGA SCAN", "state": "single point on PBEsol structure", "lattice_angstrom": [[4.075, 0.000, 0.000], [0.000, 4.075, 0.000], [-2.038, -2.038, 12.868]], "species": ["Pt", "Pt", "Pt", "Pt", "Pt", "Pt", "Pt", "Pt", "Y", "Y", "Y", "Y"], "frac_coords": [[0.750, 0.750, 0.499], [0.250, 0.250, 0.501], [0.000, 0.500, 0.999], [0.500, 0.000, 0.001], [0.582, 0.582, 0.164], [0.418, 0.418, 0.836], [0.832, 0.332, 0.664], [0.668, 0.168, 0.336], [0.924, 0.924, 0.848], [0.076, 0.076, 0.152], [0.174, 0.674, 0.348], [0.326, 0.826, 0.652]], "ef_kcal_per_mol_atoms": -27.8}

{"formula": "CsPt2W", "functional": "meta-GGA SCAN", "state": "single point on PBEsol structure", "lattice_angstrom": [[-1.882, -3.015, 3.250], [2.892, -2.433, 2.987], [0.122, 1.124, 4.682]], "species": ["Cs", "W", "Pt", "Pt"], "frac_coords": [[0.000, 0.000, 0.000], [0.500, 0.500, 0.500], [0.250, 0.250, 0.250], [0.750, 0.750, 0.750]], "ef_kcal_per_mol_atoms": 34.1}

{"formula": "MgAlBr2", "functional": "meta-GGA SCAN", "state": "single point on PBEsol structure", "lattice_angstrom": [[3.571, 0.004, 0.005], [-1.701, 5.342, -0.086], [-1.701, -1.568, 5.107]], "species": ["Al", "Br", "Br", "Mg"], "frac_coords": [[0.500, 0.000, 0.000], [0.000, 0.500, 0.000], [0.000, 0.000, 0.500], [0.500, 0.500, 0.500]], "raw_formation_energy_kj_per_mol_atoms": -29}

{"formula": "NbCr2InMo", "functional": "meta-GGA SCAN", "state": "single point on PBEsol structure", "lattice_angstrom": [[4.591, 0.000, 0.000], [0.000, 4.591, 0.000], [0.000, 0.000, 4.779]], "species": ["Cr", "Cr", "Mo", "Nb", "In"], "frac_coords": [[0.000, 0.500, 0.000], [0.500, 0.000, 0.000], [0.000, 0.000, 0.500], [0.000, 0.000, 0.000], [0.500, 0.500, 0.500]], "ef_kcal_per_mol_atoms": 33.1}

{"formula": "Cs3VH8Cl6O4", "functional": "meta-GGA SCAN", "state": "single point on PBEsol structure", "lattice_angstrom": [[-0.427, -2.027, -5.626], [7.676, -2.919, 0.470], [-6.707, -5.153, 5.560]], "species": ["Cs", "Cs", "Cs", "V", "H", "H", "H", "H", "H", "H", "H", "H", "Cl", "Cl", "Cl", "Cl", "Cl", "Cl", "O", "O", "O", "O"], "frac_coords": [[0.000, 0.000, 0.000], [0.315, 0.815, 0.629], [0.685, 0.185, 0.371], [0.500, 0.500, 0.000], [0.299, 0.504, 0.207], [0.092, 0.496, 0.793], [0.701, 0.297, 0.793], [0.908, 0.703, 0.207], [0.299, 0.703, 0.207], [0.092, 0.297, 0.793], [0.701, 0.496, 0.793], [0.908, 0.504, 0.207], [0.842, 0.084, 0.684], [0.158, 0.916, 0.316], [0.158, 0.400, 0.316], [0.842, 0.600, 0.684], [0.500, 0.214, 0.000], [0.500, 0.786, 0.000], [0.350, 0.581, 0.161], [0.189, 0.419, 0.839], [0.650, 0.419, 0.839], [0.811, 0.581, 0.161]], "final_energy_ry_per_atom": -0.88431}

{"formula": "Te2MoBr", "functional": "meta-GGA SCAN", "state": "single point on PBEsol structure", "lattice_angstrom": [[-1.187, -3.691, 3.146], [-0.868, -4.593, -1.755], [3.266, -3.671, 0.888]], "species": ["Mo", "Te", "Te", "Br"], "frac_coords": [[0.500, 0.500, 0.500], [0.250, 0.250, 0.250], [0.750, 0.750, 0.750], [0.000, 0.000, 0.000]], "raw_formation_energy_kj_per_mol_atoms": 50}

{"formula": "BP2CCl", "functional": "meta-GGA SCAN", "state": "single point on PBEsol structure", "lattice_angstrom": [[3.896, 0.000, 0.000], [0.000, 4.116, 0.000], [0.000, 0.000, 4.116]], "species": ["P", "P", "C", "B", "Cl"], "frac_coords": [[0.000, 0.000, 0.500], [0.000, 0.500, 0.000], [0.500, 0.500, 0.500], [0.000, 0.000, 0.000], [0.500, 0.000, 0.000]], "raw_formation_energy_kj_per_mol_atoms": 203}

{"formula": "BaSn2Ge2", "functional": "meta-GGA SCAN", "state": "single point on PBEsol structure", "lattice_angstrom": [[5.206, 0.000, 0.000], [0.000, 5.206, 0.000], [-2.603, -2.603, 5.061]], "species": ["Ge", "Ge", "Ba", "Sn", "Sn"], "frac_coords": [[0.250, 0.750, 0.500], [0.750, 0.250, 0.500], [0.000, 0.000, 0.000], [0.355, 0.355, 0.709], [0.645, 0.645, 0.291]], "ef_kcal_per_mol_atoms": -7.0}

{"formula": "Ta3AlGe", "functional": "meta-GGA SCAN", "state": "single point on PBEsol structure", "lattice_angstrom": [[-2.473, 2.377, 3.127], [-3.822, -0.605, -2.563], [-0.904, -3.941, 2.280]], "species": ["Ge", "Al", "Ta", "Ta", "Ta"], "frac_coords": [[0.500, 0.500, 0.500], [0.000, 0.000, 0.000], [0.000, 0.500, 0.000], [0.000, 0.000, 0.500], [0.500, 0.000, 0.000]], "ef_kcal_per_mol_atoms": 33.4}

{"formula": "CaIr2Br", "functional": "meta-GGA SCAN", "state": "single point on PBEsol structure", "lattice_angstrom": [[-0.083, -2.819, -0.854], [0.373, 0.629, 2.855], [-9.153, -0.101, 1.218]], "species": ["Ca", "Ir", "Ir", "Br"], "frac_coords": [[0.500, 0.500, 0.000], [0.000, 0.000, 0.256], [0.000, 0.000, 0.744], [0.500, 0.500, 0.500]], "raw_formation_energy_kj_per_mol_atoms": 78}

{"formula": "LiPt3O4", "functional": "meta-GGA SCAN", "state": "single point on PBEsol structure", "lattice_angstrom": [[-3.003, 2.995, 3.733], [-1.646, -4.785, 2.514], [4.494, 0.249, 3.416]], "species": ["Li", "Li", "Pt", "Pt", "Pt", "Pt", "Pt", "Pt", "O", "O", "O", "O", "O", "O", "O", "O"], "frac_coords": [[0.000, 0.000, 0.000], [0.500, 0.500, 0.500], [0.250, 0.000, 0.500], [0.750, 0.000, 0.500], [0.500, 0.250, 0.000], [0.500, 0.750, 0.000], [0.000, 0.500, 0.250], [0.000, 0.500, 0.750], [0.250, 0.250, 0.250], [0.750, 0.750, 0.750], [0.750, 0.750, 0.250], [0.750, 0.250, 0.750], [0.250, 0.250, 0.750], [0.250, 0.750, 0.250], [0.250, 0.750, 0.750], [0.750, 0.250, 0.250]], "raw_formation_energy_kj_per_mol_atoms": -91}

{"formula": "TaMo5", "functional": "meta-GGA SCAN", "state": "single point on PBEsol structure", "lattice_angstrom": [[-2.524, 1.176, 1.461], [0.696, -1.688, 2.560], [5.248, 7.167, 3.299]], "species": ["Mo", "Mo", "Mo", "Mo", "Mo", "Ta"], "frac_coords": [[0.000, 0.000, 0.672], [0.500, 0.500, 0.835], [0.000, 0.000, 0.000], [0.500, 0.500, 0.165], [0.000, 0.000, 0.328], [0.500, 0.500, 0.500]], "ef_kcal_per_mol_atoms": -2.1}